Material: Ba2NdSn3Pd4
Method: DFT, PBE
State: optimized geometry

Energy = -4.882 eV per atom
DFT formation energy = -742 meV per atom
N(E_F) = 0.50 states/eV/atom

Lattice parameters (Å, degrees): 4.7817 4.7817 11.4242 90.00 90.00 90.00
Space group P-4m2 (No. 115)
Unique sites:
Ba 0.0000 0.5000 0.2310 [2 per cell]
Nd 0.0000 0.0000 0.5000 [1 per cell]
Sn 0.0000 0.5000 0.8859 [2 per cell]
Sn 0.5000 0.5000 0.5000 [1 per cell]
Pd 0.0000 0.0000 0.0000 [1 per cell]
Pd 0.0000 0.5000 0.6466 [2 per cell]
Pd 0.5000 0.5000 0.0000 [1 per cell]